(1)
The following is a DFT calculation (PBE-GGA) of a relaxed structure of TbEr2.

## Properties
The symmetry is Fd-3m, No. 227. For the density, the calculation gives 2.21 g/cm3. The calculation puts the energy relative to the lowest polymorph listed for this composition at 2247 meV/atom. The formation energy is 2.53 eV/atom.

a = 10.153 Å, b = 10.153 Å, c = 10.153 Å
α = 60.00°, β = 60.00°, γ = 60.00°
Atoms (fractional coordinates):
Er 0.375 0.375 0.375
Er 0.875 0.375 0.375
Er 0.375 0.875 0.375
Er 0.375 0.375 0.875
Tb 0.250 0.250 0.250
Tb 0.500 0.500 0.500

---

(2)
The following is a DFT calculation (PBE-GGA) of a relaxed structure of Tb2ErTc.

## Properties
The symmetry is Cmcm, No. 63. For the density, the calculation gives 9.14 g/cm3. The formation energy is -0.10 eV/atom.

a = 3.893 Å, b = 9.170 Å, c = 6.246 Å
α = 90.00°, β = 108.15°, γ = 90.00°
Atoms (fractional coordinates):
Er 0.427 0.750 0.353
Er 0.573 0.250 0.647
Tb 0.857 0.066 0.214
Tb 0.857 0.434 0.214
Tb 0.143 0.566 0.786
Tb 0.143 0.934 0.786
Tc 0.761 0.750 0.022
Tc 0.239 0.250 0.978

---

(3)
The following is a DFT calculation (PBE-GGA) of a relaxed structure of TbEr2Tc.

## Properties
The symmetry is Cmcm, No. 63. For the density, the calculation gives 9.37 g/cm3. The formation energy is -0.12 eV/atom.

a = 3.883 Å, b = 9.095 Å, c = 6.242 Å
α = 90.00°, β = 108.12°, γ = 90.00°
Atoms (fractional coordinates):
Er 0.645 0.566 0.291
Er 0.645 0.934 0.291
Er 0.355 0.066 0.709
Er 0.355 0.434 0.709
Tb 0.071 0.250 0.143
Tb 0.929 0.750 0.857
Tc 0.739 0.250 0.479
Tc 0.261 0.750 0.521

---

(4)
The following is a DFT calculation (PBE-GGA) of a relaxed structure of Tb2ErTe3.

## Properties
The symmetry is P-3m1, No. 164. The value obtained for the total energy is -30.9 eV for the cell shown. For the density, the calculation gives 8.26 g/cm3.

a = 4.345 Å, b = 4.345 Å, c = 10.667 Å
α = 90.00°, β = 90.00°, γ = 120.00°
Atoms (fractional coordinates):
Er 0.000 0.000 0.500
Tb 0.333 0.667 0.167
Tb 0.667 0.333 0.833
Te 0.000 0.000 0.000
Te 0.667 0.333 0.337
Te 0.333 0.667 0.663

---

(5)
The following is a DFT calculation (PBE-GGA) of a relaxed structure of Tb4Er2Te.

## Properties
The symmetry is P4/mmm, No. 123. The value obtained for the total energy is -30.5 eV for the cell shown. For the density, the calculation gives 8.33 g/cm3.

a = 6.864 Å, b = 6.864 Å, c = 4.644 Å
α = 90.00°, β = 90.00°, γ = 90.00°
Atoms (fractional coordinates):
Er 0.500 0.000 0.000
Er 0.000 0.500 0.000
Tb 0.245 0.245 0.500
Tb 0.755 0.755 0.500
Tb 0.755 0.245 0.500
Tb 0.245 0.755 0.500
Te 0.000 0.000 0.000

---

(6)
The following is a DFT calculation (PBE-GGA) of a relaxed structure of TbErTe.

## Properties
The symmetry is F-43m, No. 216. The value obtained for the total energy is -13.7 eV for the cell shown. For the density, the calculation gives 8.33 g/cm3.

a = 5.040 Å, b = 5.040 Å, c = 5.040 Å
α = 60.00°, β = 60.00°, γ = 60.00°
Atoms (fractional coordinates):
Er 0.250 0.250 0.250
Tb 0.750 0.750 0.750
Te 0.000 0.000 0.000

---

(7)
The following is a DFT calculation (PBE-GGA) of a relaxed structure of TbErTlTe3.

## Properties
The symmetry is Cmcm, No. 63. For the density, the calculation gives 7.45 g/cm3. The calculation puts the energy relative to the lowest polymorph listed for this composition at 0 meV/atom.

a = 7.981 Å, b = 7.981 Å, c = 11.994 Å
α = 90.00°, β = 90.00°, γ = 147.80°
Atoms (fractional coordinates):
Er 0.937 0.063 0.250
Er 0.063 0.937 0.750
Tb 0.500 0.500 0.000
Tb 0.500 0.500 0.500
Te 0.857 0.143 0.030
Te 0.565 0.435 0.250
Te 0.857 0.143 0.470
Te 0.143 0.857 0.530
Te 0.435 0.565 0.750
Te 0.143 0.857 0.970
Tl 0.249 0.751 0.250
Tl 0.751 0.249 0.750

---

(8)
The following is a DFT calculation (PBE-GGA) of a relaxed structure of TbErTlTe3.

## Properties
The symmetry is Cmcm, No. 63. For the density, the calculation gives 7.54 g/cm3. The calculation puts the energy relative to the lowest polymorph listed for this composition at 13 meV/atom.

a = 7.947 Å, b = 7.947 Å, c = 11.985 Å
α = 90.00°, β = 90.00°, γ = 147.90°
Atoms (fractional coordinates):
Er 0.500 0.500 0.000
Er 0.500 0.500 0.500
Tb 0.932 0.068 0.250
Tb 0.068 0.932 0.750
Te 0.858 0.142 0.023
Te 0.565 0.435 0.250
Te 0.858 0.142 0.477
Te 0.142 0.858 0.523
Te 0.435 0.565 0.750
Te 0.142 0.858 0.977
Tl 0.248 0.752 0.250
Tl 0.752 0.248 0.750

---

(9)
The following is a DFT calculation (PBE-GGA) of a relaxed structure of TbErTh.

## Properties
The symmetry is F-43m, No. 216. For the density, the calculation gives 8.34 g/cm3. The formation energy is 0.80 eV/atom.

a = 5.397 Å, b = 5.397 Å, c = 5.397 Å
α = 60.00°, β = 60.00°, γ = 60.00°
Atoms (fractional coordinates):
Er 0.000 0.000 0.000
Tb 0.250 0.250 0.250
Th 0.750 0.750 0.750

---

(10)
The following is a DFT calculation (PBE-GGA) of a relaxed structure of TbEr2Tl3.

## Properties
The symmetry is P4/mmm, No. 123. The value obtained for the total energy is -22.8 eV for the cell shown. For the density, the calculation gives 11.46 g/cm3.

a = 3.629 Å, b = 3.629 Å, c = 12.179 Å
α = 90.00°, β = 90.00°, γ = 90.00°
Atoms (fractional coordinates):
Er 0.500 0.500 0.166
Er 0.500 0.500 0.834
Tb 0.500 0.500 0.500
Tl 0.000 0.000 0.000
Tl 0.000 0.000 0.331
Tl 0.000 0.000 0.669

---

(11)
The following is a DFT calculation (PBE-GGA) of a relaxed structure of TbErTl.

## Properties
The symmetry is F-43m, No. 216. The value obtained for the total energy is -11.7 eV for the cell shown. For the density, the calculation gives 9.13 g/cm3.

a = 5.149 Å, b = 5.149 Å, c = 5.149 Å
α = 60.00°, β = 60.00°, γ = 60.00°
Atoms (fractional coordinates):
Er 0.250 0.250 0.250
Tb 0.750 0.750 0.750
Tl 0.000 0.000 0.000

---

(12)
The following is a DFT calculation (PBE-GGA) of a relaxed structure of TbErTm.

## Properties
The symmetry is F-43m, No. 216. For the density, the calculation gives 7.55 g/cm3. The calculation puts the energy relative to the lowest polymorph listed for this composition at 0 meV/atom. The formation energy is 0.72 eV/atom.

a = 5.359 Å, b = 5.359 Å, c = 5.359 Å
α = 60.00°, β = 60.00°, γ = 60.00°
Atoms (fractional coordinates):
Er 0.250 0.250 0.250
Tb 0.750 0.750 0.750
Tm 0.000 0.000 0.000

---

(13)
The following is a DFT calculation (PBE-GGA) of a relaxed structure of TbErU.

## Properties
The symmetry is F-43m, No. 216. For the density, the calculation gives 9.30 g/cm3. The calculation puts the energy relative to the lowest polymorph listed for this composition at 0 meV/atom. The formation energy is 1.28 eV/atom.

a = 5.223 Å, b = 5.223 Å, c = 5.223 Å
α = 60.00°, β = 60.00°, γ = 60.00°
Atoms (fractional coordinates):
Er 0.000 0.000 0.000
Tb 0.250 0.250 0.250
U 0.750 0.750 0.750

---

(14)
The following is a DFT calculation (PBE-GGA) of a relaxed structure of TbErZn4.

## Properties
The symmetry is Imm2, No. 44. For the density, the calculation gives 8.21 g/cm3. The formation energy is -0.39 eV/atom.

a = 5.629 Å, b = 5.629 Å, c = 5.629 Å
α = 133.35°, β = 102.03°, γ = 96.03°
Atoms (fractional coordinates):
Er 0.530 0.530 0.000
Tb 0.970 0.470 0.500
Zn 0.372 0.166 0.206
Zn 0.128 0.834 0.294
Zn 0.540 0.834 0.706
Zn 0.960 0.166 0.794

---

(15)
The following is a DFT calculation (PBE-GGA) of a relaxed structure of TbErZn.

## Properties
The symmetry is F-43m, No. 216. For the density, the calculation gives 7.65 g/cm3. The calculation puts the energy relative to the lowest polymorph listed for this composition at 0 meV/atom. The formation energy is 0.02 eV/atom.

a = 4.936 Å, b = 4.936 Å, c = 4.936 Å
α = 60.00°, β = 60.00°, γ = 60.00°
Atoms (fractional coordinates):
Er 0.250 0.250 0.250
Tb 0.750 0.750 0.750
Zn 0.000 0.000 0.000

---

(16)
The following is a DFT calculation (PBE-GGA) of a relaxed structure of Er2Tc.

## Properties
The symmetry is Fd-3m, No. 227. For the density, the calculation gives 3.88 g/cm3. The calculation puts the energy relative to the lowest polymorph listed for this composition at 271 meV/atom. The formation energy is 1.33 eV/atom.

a = 8.063 Å, b = 8.063 Å, c = 8.063 Å
α = 60.00°, β = 60.00°, γ = 60.00°
Atoms (fractional coordinates):
Er 0.875 0.375 0.375
Er 0.375 0.875 0.375
Er 0.375 0.375 0.375
Er 0.375 0.375 0.875
Tc 0.250 0.250 0.250
Tc 0.500 0.500 0.500

---

(17)
The following is a DFT calculation (PBE-GGA) of a relaxed structure of Er2Tc.

## Properties
The symmetry is Fd-3m, No. 227. For the density, the calculation gives 10.41 g/cm3. The calculation puts the energy relative to the lowest polymorph listed for this composition at 0 meV/atom. The formation energy is 1.06 eV/atom.

a = 5.800 Å, b = 5.800 Å, c = 5.800 Å
α = 60.00°, β = 60.00°, γ = 60.00°
Atoms (fractional coordinates):
Er 0.625 0.625 0.125
Er 0.625 0.125 0.625
Er 0.125 0.625 0.625
Er 0.625 0.625 0.625
Tc 0.000 0.000 0.000
Tc 0.250 0.250 0.250

---

(18)
The following is a DFT calculation (PBE-GGA) of a relaxed structure of Er6TcTe2.

## Properties
The symmetry is P-62m, No. 189. The value obtained for the total energy is -50.0 eV for the cell shown. For the density, the calculation gives 9.46 g/cm3.

a = 4.066 Å, b = 8.226 Å, c = 8.226 Å
α = 120.01°, β = 90.00°, γ = 90.00°
Atoms (fractional coordinates):
Er 0.500 0.389 0.000
Er 0.000 0.762 0.000
Er 0.000 0.238 0.238
Er 0.500 0.000 0.389
Er 0.500 0.611 0.611
Er 0.000 0.000 0.762
Tc 0.500 0.000 0.000
Te 0.000 0.667 0.333
Te 0.000 0.333 0.667

---

(19)
The following is a DFT calculation (PBE-GGA) of a relaxed structure of Er2ThTc.

## Properties
The symmetry is Pnma, No. 62. For the density, the calculation gives 10.09 g/cm3. The formation energy is -0.18 eV/atom.

a = 7.328 Å, b = 9.423 Å, c = 6.337 Å
α = 90.00°, β = 90.00°, γ = 90.00°
Atoms (fractional coordinates):
Er 0.825 0.566 0.168
Er 0.825 0.934 0.168
Er 0.325 0.566 0.332
Er 0.325 0.934 0.332
Er 0.675 0.066 0.668
Er 0.675 0.434 0.668
Er 0.175 0.066 0.832
Er 0.175 0.434 0.832
Tc 0.129 0.750 0.018
Tc 0.629 0.750 0.482
Tc 0.371 0.250 0.518
Tc 0.871 0.250 0.982
Th 0.548 0.250 0.140
Th 0.048 0.250 0.360
Th 0.952 0.750 0.640
Th 0.452 0.750 0.860

---

(20)
The following is a DFT calculation (PBE-GGA) of a relaxed structure of Er4TlTc.

## Properties
The symmetry is C2/c, No. 15. The value obtained for the total energy is -64.8 eV for the cell shown. For the density, the calculation gives 9.84 g/cm3.

a = 7.727 Å, b = 7.727 Å, c = 6.188 Å
α = 99.43°, β = 99.43°, γ = 111.89°
Atoms (fractional coordinates):
Er 0.938 0.275 0.047
Er 0.354 0.198 0.107
Er 0.802 0.646 0.393
Er 0.725 0.062 0.453
Er 0.275 0.938 0.547
Er 0.198 0.354 0.607
Er 0.646 0.802 0.893
Er 0.062 0.725 0.953
Tc 0.000 0.000 0.250
Tc 0.000 0.000 0.750
Tl 0.375 0.625 0.250
Tl 0.625 0.375 0.750